Density functional theory data (GGA-PBEsol) for a relaxed H2RuN crystal.

Unit cell a=4.6206 b=4.6206 c=4.6206 alpha=90.00 beta=90.00 gamma=90.00
Space group Fm-3m (No. 225)
Symmetry-distinct sites (fractional):
H: 0.2500 0.2500 0.2500
Ru: 0.0000 0.0000 0.0000
N: 0.0000 0.0000 0.5000

Density functional theory data (GGA-PBEsol) for a relaxed HRuSN2 crystal.

Unit cell a=3.6569 b=3.6569 c=4.9959 alpha=90.00 beta=90.00 gamma=90.00
Space group P4/mmm (No. 123)
Symmetry-distinct sites (fractional):
H: 0.0000 0.0000 0.0000
Ru: 0.5000 0.5000 0.5000
S: 0.5000 0.5000 0.0000
N: 0.0000 0.5000 0.5000

Density functional theory data (GGA-PBEsol) for a relaxed H8WS4N2 crystal.

Unit cell a=9.4368 b=6.9543 c=12.3600 alpha=90.00 beta=90.00 gamma=90.00
Space group Pnma (No. 62)
Symmetry-distinct sites (fractional):
H: 0.0357 0.2500 0.1396
H: 0.0680 0.7500 0.7468
H: 0.1242 0.6281 0.8560
H: 0.1270 0.2500 0.6853
H: 0.1546 0.1283 0.5669
H: 0.2098 0.7500 0.1259
W: 0.2426 0.7500 0.4316
S: 0.0392 0.2500 0.8684
S: 0.1319 0.0056 0.3736
S: 0.2414 0.7500 0.6094
N: 0.0690 0.7500 0.8309
N: 0.1814 0.2500 0.6116

Density functional theory data (GGA-PBEsol) for a relaxed ZnHS2N crystal.

Unit cell a=3.3420 b=3.3420 c=6.0744 alpha=90.00 beta=90.00 gamma=90.00
Space group P4/mmm (No. 123)
Symmetry-distinct sites (fractional):
Zn: 0.0000 0.0000 0.0000
H: 0.5000 0.5000 0.5000
S: 0.0000 0.5000 0.5000
N: 0.5000 0.5000 0.0000

Density functional theory data (GGA-PBEsol) for a relaxed Sb2H2N crystal.

Unit cell a=6.1128 b=6.1128 c=3.3095 alpha=90.00 beta=90.00 gamma=90.00
Space group P4/mbm (No. 127)
Symmetry-distinct sites (fractional):
Sb: 0.2504 0.2496 0.0000
H: 0.0462 0.4538 0.5000
N: 0.0000 0.0000 0.5000

Density functional theory data (GGA-PBEsol) for a relaxed SbHN2 crystal.

Unit cell a=3.1982 b=3.1982 c=14.2631 alpha=90.00 beta=90.00 gamma=120.00
Space group R-3m (No. 166, hexagonal axes)
Symmetry-distinct sites (fractional):
Sb: 0.0000 0.0000 0.0000
H: 0.0000 0.0000 0.5000
N: 0.0000 0.0000 0.4089

Density functional theory data (GGA-PBEsol) for a relaxed SbHSe2N crystal.

Unit cell a=3.6399 b=3.6399 c=6.4423 alpha=90.00 beta=90.00 gamma=90.00
Space group P4/mmm (No. 123)
Symmetry-distinct sites (fractional):
Sb: 0.0000 0.0000 0.0000
H: 0.5000 0.5000 0.5000
Se: 0.0000 0.5000 0.5000
N: 0.5000 0.5000 0.0000

Density functional theory data (GGA-PBEsol) for a relaxed SbTe2HN crystal.

Unit cell a=4.7280 b=4.7280 c=4.2954 alpha=90.00 beta=90.00 gamma=90.00
Space group P4/mmm (No. 123)
Symmetry-distinct sites (fractional):
Sb: 0.0000 0.0000 0.0000
Te: 0.0000 0.5000 0.5000
H: 0.0000 0.0000 0.5000
N: 0.5000 0.5000 0.0000

Calculated volume? In order: 98.65, 66.81, 811.14, 67.84, 123.66, 126.34, 85.35, 96.02 Å³ per cell.
Magnetization? In order: 0.0, 0.0, 0.0, 1.2, 0.0, 0.0, 0.0, 2.3 μB per formula unit.
Raw total energy? In order: -82.5, -29.2, -325.9, -16.4, -41.1, -72.4, -18.9, -16.9 eV per cell.